VASP calculation (SCAN) on a crystal of Co2BrCl relaxed with PBEsol.

```
data_Co2BrCl
_chemical_formula_sum 'Co4 Br2 Cl2'
_space_group_name_H-M_alt 'I -4 m 2'
_space_group_IT_number 119
_space_group_name_Hall 'I -4 -2'
_cell_length_a 3.3980
_cell_length_b 3.3980
_cell_length_c 11.3673
_cell_angle_alpha 90.00
_cell_angle_beta 90.00
_cell_angle_gamma 90.00
loop_
_atom_site_label
_atom_site_fract_x
_atom_site_fract_y
_atom_site_fract_z
_atom_site_occupancy
Co1 0.0000 0.0000 0.0000 1
Co2 0.0000 0.5000 0.2500 1
Br1 0.0000 0.0000 0.5000 1
Cl1 0.0000 0.5000 0.7500 1
```

Output
formation energy (no corrections)	0.49	eV per formula unit
total moment	0.984	μB per atom